No. 1
A plane-wave DFT calculation with PBE was carried out for crystalline InPbW at its relaxed geometry.

* formation energy: 2.35 eV/f.u.
* raw total energy: -5.684 eV per atom

Geometry as CIF:
```
data_InPbW
_cell_length_a 8.458
_cell_length_b 8.458
_cell_length_c 8.458
_cell_angle_alpha 159.78
_cell_angle_beta 159.78
_cell_angle_gamma 28.74
_symmetry_space_group_name_H-M 'P 1'
_symmetry_Int_Tables_number 1
loop_
_symmetry_equiv_pos_as_xyz
'x,y,z'
loop_
_atom_site_label
_atom_site_type_symbol
_atom_site_fract_x
_atom_site_fract_y
_atom_site_fract_z
In1 In 0.027 0.027 0.000
W1 W 0.664 0.664 0.000
Pb1 Pb 0.308 0.308 0.000
```

No. 2
A plane-wave DFT calculation with PBE was carried out for crystalline FeNiAsSe at its relaxed geometry.

* formation energy (no corrections): -20 meV/atom
* raw total energy: -5.614 eV per atom

Geometry as CIF:
```
data_FeNiAsSe
_cell_length_a 5.991
_cell_length_b 3.243
_cell_length_c 7.183
_cell_angle_alpha 90.00
_cell_angle_beta 116.60
_cell_angle_gamma 90.00
_symmetry_space_group_name_H-M 'P 1'
_symmetry_Int_Tables_number 1
loop_
_symmetry_equiv_pos_as_xyz
'x,y,z'
loop_
_atom_site_label
_atom_site_type_symbol
_atom_site_fract_x
_atom_site_fract_y
_atom_site_fract_z
Fe1 Fe 0.635 0.000 0.089
Fe2 Fe 0.635 0.500 0.589
Se1 Se 0.372 0.000 0.282
Se2 Se 0.372 0.500 0.782
Ni1 Ni 0.031 0.500 0.152
Ni2 Ni 0.031 0.000 0.652
As1 As 0.838 0.500 0.369
As2 As 0.838 0.000 0.869
```

No. 3
A plane-wave DFT calculation with PBE was carried out for crystalline Na2CaCoH at its relaxed geometry.

* raw total energy: -2.145 eV per atom

Geometry as CIF:
```
data_Na2CaCoH
_cell_length_a 6.156
_cell_length_b 3.785
_cell_length_c 6.156
_cell_angle_alpha 90.00
_cell_angle_beta 90.00
_cell_angle_gamma 90.00
_symmetry_space_group_name_H-M 'P 1'
_symmetry_Int_Tables_number 1
loop_
_symmetry_equiv_pos_as_xyz
'x,y,z'
loop_
_atom_site_label
_atom_site_type_symbol
_atom_site_fract_x
_atom_site_fract_y
_atom_site_fract_z
Ca1 Ca 0.000 0.000 0.000
Na1 Na 0.500 0.000 0.000
Na2 Na 0.000 0.000 0.500
H1 H 0.000 0.500 0.000
Co1 Co 0.500 0.500 0.500
```

No. 4
A plane-wave DFT calculation with PBE was carried out for crystalline Tm2In3Ag4 at its relaxed geometry.

* formation energy: -1.79 eV/f.u.
* raw total energy: -3.373 eV per atom

Geometry as CIF:
```
data_Tm2In3Ag4
_cell_length_a 5.957
_cell_length_b 7.879
_cell_length_c 9.111
_cell_angle_alpha 90.00
_cell_angle_beta 109.08
_cell_angle_gamma 90.00
_symmetry_space_group_name_H-M 'P 1'
_symmetry_Int_Tables_number 1
loop_
_symmetry_equiv_pos_as_xyz
'x,y,z'
loop_
_atom_site_label
_atom_site_type_symbol
_atom_site_fract_x
_atom_site_fract_y
_atom_site_fract_z
Ag1 Ag 0.338 0.481 0.675
Ag2 Ag 0.162 0.981 0.325
Ag3 Ag 0.677 0.750 0.855
Ag4 Ag 0.838 0.019 0.675
Ag5 Ag 0.823 0.250 0.145
Ag6 Ag 0.323 0.250 0.145
Ag7 Ag 0.177 0.750 0.855
Ag8 Ag 0.662 0.519 0.325
In1 In 0.991 0.250 0.483
In2 In 0.491 0.250 0.483
In3 In 0.009 0.750 0.517
In4 In 0.000 0.000 0.000
In5 In 0.500 0.500 0.000
In6 In 0.509 0.750 0.517
Tm1 Tm 0.905 0.392 0.810
Tm2 Tm 0.095 0.608 0.190
Tm3 Tm 0.405 0.108 0.810
Tm4 Tm 0.595 0.892 0.190
```

No. 5
A plane-wave DFT calculation with PBE was carried out for crystalline VCoRuW2 at its relaxed geometry.

* formation energy: 8.45 eV/f.u.
* raw total energy: -8.592 eV per atom

Geometry as CIF:
```
data_VCoRuW2
_cell_length_a 4.495
_cell_length_b 4.366
_cell_length_c 4.495
_cell_angle_alpha 90.00
_cell_angle_beta 90.00
_cell_angle_gamma 90.00
_symmetry_space_group_name_H-M 'P 1'
_symmetry_Int_Tables_number 1
loop_
_symmetry_equiv_pos_as_xyz
'x,y,z'
loop_
_atom_site_label
_atom_site_type_symbol
_atom_site_fract_x
_atom_site_fract_y
_atom_site_fract_z
W1 W 0.500 0.000 0.000
W2 W 0.000 0.000 0.500
Ru1 Ru 0.000 0.500 0.000
V1 V 0.000 0.000 0.000
Co1 Co 0.500 0.500 0.500
```

No. 6
A plane-wave DFT calculation with PBE was carried out for crystalline Ag4H2Cl5 at its relaxed geometry.

* raw total energy: -2.793 eV per atom

Geometry as CIF:
```
data_Ag4H2Cl5
_cell_length_a 4.366
_cell_length_b 6.652
_cell_length_c 9.551
_cell_angle_alpha 105.29
_cell_angle_beta 105.32
_cell_angle_gamma 95.81
_symmetry_space_group_name_H-M 'P 1'
_symmetry_Int_Tables_number 1
loop_
_symmetry_equiv_pos_as_xyz
'x,y,z'
loop_
_atom_site_label
_atom_site_type_symbol
_atom_site_fract_x
_atom_site_fract_y
_atom_site_fract_z
Ag1 Ag 0.076 0.217 0.924
Ag2 Ag 0.662 0.835 0.337
Ag3 Ag 0.924 0.783 0.076
Ag4 Ag 0.338 0.165 0.663
Cl1 Cl 0.240 0.516 0.181
Cl2 Cl 0.500 0.000 0.000
Cl3 Cl 0.174 0.066 0.353
Cl4 Cl 0.826 0.934 0.647
Cl5 Cl 0.760 0.484 0.819
H1 H 0.011 0.464 0.465
H2 H 0.989 0.536 0.535
```

No. 7
A plane-wave DFT calculation with PBE was carried out for crystalline V4Re2B at its relaxed geometry.

* formation energy: 2.86 eV/f.u.
* raw total energy: -9.312 eV per atom

Geometry as CIF:
```
data_V4Re2B
_cell_length_a 3.964
_cell_length_b 3.964
_cell_length_c 6.885
_cell_angle_alpha 73.27
_cell_angle_beta 73.27
_cell_angle_gamma 90.00
_symmetry_space_group_name_H-M 'P 1'
_symmetry_Int_Tables_number 1
loop_
_symmetry_equiv_pos_as_xyz
'x,y,z'
loop_
_atom_site_label
_atom_site_type_symbol
_atom_site_fract_x
_atom_site_fract_y
_atom_site_fract_z
Re1 Re 0.364 0.364 0.272
Re2 Re 0.636 0.636 0.728
B1 B 0.000 0.000 0.000
V1 V 0.000 0.500 0.000
V2 V 0.500 0.000 0.000
V3 V 0.828 0.828 0.343
V4 V 0.172 0.172 0.657
```

No. 8
A plane-wave DFT calculation with PBE was carried out for crystalline Ac5PrSm2 at its relaxed geometry.

* formation energy: 0.24 eV/f.u.
* raw total energy: -4.315 eV per atom

Geometry as CIF:
```
data_Ac5PrSm2
_cell_length_a 5.505
_cell_length_b 7.700
_cell_length_c 15.401
_cell_angle_alpha 90.00
_cell_angle_beta 90.00
_cell_angle_gamma 90.00
_symmetry_space_group_name_H-M 'P 1'
_symmetry_Int_Tables_number 1
loop_
_symmetry_equiv_pos_as_xyz
'x,y,z'
loop_
_atom_site_label
_atom_site_type_symbol
_atom_site_fract_x
_atom_site_fract_y
_atom_site_fract_z
Ac1 Ac 0.500 0.757 0.622
Ac2 Ac 0.000 0.008 0.747
Ac3 Ac 0.500 0.243 0.378
Ac4 Ac 0.000 0.508 0.753
Ac5 Ac 0.000 0.492 0.247
Ac6 Ac 0.500 0.743 0.122
Ac7 Ac 0.000 0.500 0.500
Ac8 Ac 0.500 0.257 0.878
Ac9 Ac 0.000 0.992 0.253
Ac10 Ac 0.000 0.000 0.000
Sm1 Sm 0.500 0.255 0.624
Sm2 Sm 0.500 0.245 0.124
Sm3 Sm 0.500 0.755 0.876
Sm4 Sm 0.500 0.745 0.376
Pr1 Pr 0.000 0.000 0.500
Pr2 Pr 0.000 0.500 0.000
```

No. 9
A plane-wave DFT calculation with PBE was carried out for crystalline ZrAlPb at its relaxed geometry.

* formation energy: 1.80 eV/f.u.
* raw total energy: -4.732 eV per atom

Geometry as CIF:
```
data_ZrAlPb
_cell_length_a 4.829
_cell_length_b 4.829
_cell_length_c 4.829
_cell_angle_alpha 60.00
_cell_angle_beta 60.00
_cell_angle_gamma 60.00
_symmetry_space_group_name_H-M 'P 1'
_symmetry_Int_Tables_number 1
loop_
_symmetry_equiv_pos_as_xyz
'x,y,z'
loop_
_atom_site_label
_atom_site_type_symbol
_atom_site_fract_x
_atom_site_fract_y
_atom_site_fract_z
Zr1 Zr 0.000 0.000 0.000
Al1 Al 0.500 0.500 0.500
Pb1 Pb 0.750 0.750 0.750
```

No. 10
A plane-wave DFT calculation with PBE was carried out for crystalline K4NpU3S8 at its relaxed geometry.

* formation energy (no corrections): -1394 meV/atom
* raw total energy: -6.658 eV per atom

Geometry as CIF:
```
data_K4NpU3S8
_cell_length_a 8.088
_cell_length_b 8.773
_cell_length_c 8.088
_cell_angle_alpha 117.45
_cell_angle_beta 120.00
_cell_angle_gamma 90.00
_symmetry_space_group_name_H-M 'P 1'
_symmetry_Int_Tables_number 1
loop_
_symmetry_equiv_pos_as_xyz
'x,y,z'
loop_
_atom_site_label
_atom_site_type_symbol
_atom_site_fract_x
_atom_site_fract_y
_atom_site_fract_z
S1 S 0.265 0.296 0.531
S2 S 0.236 0.704 0.968
S3 S 0.764 0.296 0.032
S4 S 0.732 0.704 0.968
S5 S 0.268 0.296 0.032
S6 S 0.735 0.704 0.469
S7 S 0.236 0.704 0.471
S8 S 0.764 0.296 0.529
K1 K 0.000 0.000 0.500
K2 K 0.000 0.000 0.000
K3 K 0.500 0.000 0.500
K4 K 0.500 0.000 0.000
U1 U 0.500 0.500 0.500
U2 U 0.500 0.500 0.000
U3 U 0.000 0.500 0.500
Np1 Np 0.000 0.500 0.000
```

No. 11
A plane-wave DFT calculation with PBE was carried out for crystalline BaMg2As at its relaxed geometry.

* formation energy: -1.17 eV/f.u.
* raw total energy: -2.734 eV per atom

Geometry as CIF:
```
data_BaMg2As
_cell_length_a 7.988
_cell_length_b 7.988
_cell_length_c 7.988
_cell_angle_alpha 32.26
_cell_angle_beta 32.26
_cell_angle_gamma 32.26
_symmetry_space_group_name_H-M 'P 1'
_symmetry_Int_Tables_number 1
loop_
_symmetry_equiv_pos_as_xyz
'x,y,z'
loop_
_atom_site_label
_atom_site_type_symbol
_atom_site_fract_x
_atom_site_fract_y
_atom_site_fract_z
Mg1 Mg 0.964 0.964 0.964
Mg2 Mg 0.536 0.536 0.536
Ba1 Ba 0.750 0.750 0.750
As1 As 0.250 0.250 0.250
```

No. 12
A plane-wave DFT calculation with PBE was carried out for crystalline LiAlTe at its relaxed geometry.

* formation energy (no corrections): -285 meV/atom
* raw total energy: -3.217 eV per atom

Geometry as CIF:
```
data_LiAlTe
_cell_length_a 3.987
_cell_length_b 3.987
_cell_length_c 5.641
_cell_angle_alpha 90.00
_cell_angle_beta 90.00
_cell_angle_gamma 120.00
_symmetry_space_group_name_H-M 'P 1'
_symmetry_Int_Tables_number 1
loop_
_symmetry_equiv_pos_as_xyz
'x,y,z'
loop_
_atom_site_label
_atom_site_type_symbol
_atom_site_fract_x
_atom_site_fract_y
_atom_site_fract_z
Li1 Li 0.667 0.333 0.356
Te1 Te 0.333 0.667 0.681
Al1 Al 0.000 0.000 0.962
```

> Among the records above, which one has the lowest raw total energy?

V4Re2B

Repeat the third record exactly.
A plane-wave DFT calculation with PBE was carried out for crystalline Na2CaCoH at its relaxed geometry.

* raw total energy: -2.145 eV per atom

Geometry as CIF:
```
data_Na2CaCoH
_cell_length_a 6.156
_cell_length_b 3.785
_cell_length_c 6.156
_cell_angle_alpha 90.00
_cell_angle_beta 90.00
_cell_angle_gamma 90.00
_symmetry_space_group_name_H-M 'P 1'
_symmetry_Int_Tables_number 1
loop_
_symmetry_equiv_pos_as_xyz
'x,y,z'
loop_
_atom_site_label
_atom_site_type_symbol
_atom_site_fract_x
_atom_site_fract_y
_atom_site_fract_z
Ca1 Ca 0.000 0.000 0.000
Na1 Na 0.500 0.000 0.000
Na2 Na 0.000 0.000 0.500
H1 H 0.000 0.500 0.000
Co1 Co 0.500 0.500 0.500
```

> Among the records above, which one has the highest raw total energy?

Na2CaCoH

> Among the records above, which one has the highest raw total energy?

Na2CaCoH